The following is a DFT calculation (PBE) of crystalline CsMo8 at its relaxed geometry.

a = 9.0117 Å, b = 15.5902 Å, c = 2.7613 Å
α = 90.00°, β = 90.00°, γ = 90.00°
Space group Cmmm (No. 65)
Unique sites:
1 Cs 0.0000 0.0000 0.0000 (multiplicity 2)
2 Mo 0.0000 0.1767 0.5000 (multiplicity 4)
3 Mo 0.0000 0.3334 0.5000 (multiplicity 4)
4 Mo 0.2350 0.4117 0.5000 (multiplicity 8)

## Properties
Total energy ... -7.8661 eV/atom
Size of the total moment ... 0.0 μB/cell

---

The following is a DFT calculation (PBE) of crystalline HfPdPb at its relaxed geometry.

a = 6.9699 Å, b = 4.3771 Å, c = 8.2130 Å
α = 90.00°, β = 90.00°, γ = 90.00°
Space group Pnma (No. 62)
Unique sites:
1 Hf 0.0313 0.2500 0.2336 (multiplicity 4)
2 Pd 0.1226 0.2500 0.5739 (multiplicity 4)
3 Pb 0.2133 0.2500 0.9063 (multiplicity 4)

## Properties
Total energy ... -6.5463 eV/atom
Size of the total moment ... 0.0 μB/cell

---

The following is a DFT calculation (PBE) of crystalline LiNi4As2 at its relaxed geometry.

a = 7.0800 Å, b = 7.0800 Å, c = 3.7190 Å
α = 90.00°, β = 90.00°, γ = 90.00°
Space group P4_2/mnm (No. 136)
Unique sites:
1 Li 0.0000 0.0000 0.0000 (multiplicity 2)
2 Ni 0.0830 0.3401 0.5000 (multiplicity 8)
3 As 0.2273 0.7727 0.5000 (multiplicity 4)

## Properties
Total energy ... -5.1558 eV/atom
Size of the total moment ... 0.0 μB/cell

---

The following is a DFT calculation (PBE) of crystalline AcUBe at its relaxed geometry.

a = 6.9610 Å, b = 6.9610 Å, c = 6.9610 Å
α = 90.00°, β = 90.00°, γ = 90.00°
Space group F-43m (No. 216)
Unique sites:
1 Ac 0.0000 0.0000 0.0000 (multiplicity 4)
2 U 0.2500 0.2500 0.2500 (multiplicity 4)
3 Be 0.2500 0.2500 0.7500 (multiplicity 4)

## Properties
Size of the total moment ... 12.0 μB/cell
ΔE to the lowest computed polymorph ... 57.92 kJ per mole of atoms

---

The following is a DFT calculation (PBE) of crystalline LaCuGePt at its relaxed geometry.

a = 6.7297 Å, b = 6.7297 Å, c = 6.7297 Å
α = 90.00°, β = 90.00°, γ = 90.00°
Space group F-43m (No. 216)
Unique sites:
1 La 0.0000 0.0000 0.0000 (multiplicity 4)
2 Cu 0.2500 0.2500 0.2500 (multiplicity 4)
3 Ge 0.2500 0.2500 0.7500 (multiplicity 4)
4 Pt 0.0000 0.0000 0.5000 (multiplicity 4)

## Properties
Size of the total moment ... 0.0 μB/cell
ΔE to the lowest computed polymorph ... 0.00 kJ per mole of atoms

---

The following is a DFT calculation (PBE) of crystalline Ta7W8 at its relaxed geometry.

a = 9.9755 Å, b = 9.9755 Å, c = 5.2430 Å
α = 90.00°, β = 90.00°, γ = 90.00°
Space group P4_2/mnm (No. 136)
Unique sites:
1 Ta 0.0000 0.0000 0.0000 (multiplicity 2)
2 Ta 0.1075 0.1075 0.5000 (multiplicity 4)
3 Ta 0.1850 0.8150 0.2498 (multiplicity 8)
4 W 0.0335 0.3742 0.5000 (multiplicity 8)
5 W 0.0650 0.2605 0.0000 (multiplicity 8)

## Properties
DFT formation energy ... 0.03 eV per atom
Size of the total moment ... 0.0 μB/cell
ΔE to the lowest computed polymorph ... 0.00 kJ per mole of atoms

---

The following is a DFT calculation (PBE) of crystalline CuSiHgW at its relaxed geometry.

a = 6.3178 Å, b = 6.3178 Å, c = 6.3178 Å
α = 90.00°, β = 90.00°, γ = 90.00°
Space group F-43m (No. 216)
Unique sites:
1 Cu 0.0000 0.0000 0.0000 (multiplicity 4)
2 Si 0.2500 0.2500 0.7500 (multiplicity 4)
3 Hg 0.2500 0.2500 0.2500 (multiplicity 4)
4 W 0.0000 0.0000 0.5000 (multiplicity 4)

## Properties
Size of the total moment ... 0.3 μB/cell
ΔE to the lowest computed polymorph ... 0.00 kJ per mole of atoms

---

The following is a DFT calculation (PBE) of crystalline NbAsPb at its relaxed geometry.

a = 6.8413 Å, b = 6.8413 Å, c = 6.8413 Å
α = 90.00°, β = 90.00°, γ = 90.00°
Space group F-43m (No. 216)
Unique sites:
1 Nb 0.0000 0.0000 0.0000 (multiplicity 4)
2 As 0.0000 0.0000 0.5000 (multiplicity 4)
3 Pb 0.2500 0.2500 0.7500 (multiplicity 4)

## Properties
Size of the total moment ... 10.0 μB/cell
ΔE to the lowest computed polymorph ... 51.97 kJ per mole of atoms